Entry 1:
# GGA-PBE AsOsAu3, optimized geometry
data_AsOsAu3
_chemical_formula_sum 'As1 Os1 Au3'
_space_group_name_H-M_alt 'P m -3 m'
_space_group_IT_number 221
_space_group_name_Hall '-P 4 2 3'
_cell_length_a 4.792
_cell_length_b 4.792
_cell_length_c 4.792
_cell_angle_alpha 90.00
_cell_angle_beta 90.00
_cell_angle_gamma 90.00
loop_
_atom_site_label
_atom_site_type_symbol
_atom_site_fract_x
_atom_site_fract_y
_atom_site_fract_z
_atom_site_occupancy
As1 As 0.000 0.000 0.000 1
Os1 Os 0.500 0.500 0.500 1
Au1 Au 0.000 0.000 0.500 1
# Formation energy   1.41 eV per atom
# Crystal system   cubic
# E above lowest polymorph   0.0000 eV per atom



Entry 2:
# GGA-PBE SrSiAgIr, optimized geometry
data_SrSiAgIr
_chemical_formula_sum 'Sr2 Si2 Ag2 Ir2'
_space_group_name_H-M_alt 'P 4/n m m'
_space_group_IT_number 129
_cell_length_a 4.085
_cell_length_b 4.085
_cell_length_c 10.989
_cell_angle_alpha 90.00
_cell_angle_beta 90.00
_cell_angle_gamma 90.00
loop_
_space_group_symop_operation_xyz
'x,y,z'
'-x,-y,-z'
'-y+1/2,x,z'
'y+1/2,-x,-z'
'-x+1/2,-y+1/2,z'
'x+1/2,y+1/2,-z'
'y,-x+1/2,z'
'-y,x+1/2,-z'
'x+1/2,-y,-z'
'-x+1/2,y,z'
'-y,-x,-z'
'y,x,z'
'-x,y+1/2,-z'
'x,-y+1/2,z'
'y+1/2,x+1/2,-z'
'-y+1/2,-x+1/2,z'
loop_
_atom_site_label
_atom_site_type_symbol
_atom_site_fract_x
_atom_site_fract_y
_atom_site_fract_z
_atom_site_occupancy
Sr1 Sr 0.250 0.250 0.248 1
Si1 Si 0.250 0.250 0.614 1
Ag1 Ag 0.250 0.750 0.000 1
Ir1 Ir 0.250 0.750 0.500 1
# Crystal system   tetragonal
# Energy relative to the elements, uncorrected   -543 meV per atom



Entry 3:
# GGA-PBE TlTeBr2, optimized geometry
data_TlTeBr2
_chemical_formula_sum 'Tl1 Te1 Br2'
_space_group_name_H-M_alt 'P 1 m 1'
_space_group_IT_number 6
_cell_length_a 5.205
_cell_length_b 6.193
_cell_length_c 5.421
_cell_angle_alpha 90.00
_cell_angle_beta 115.23
_cell_angle_gamma 90.00
loop_
_space_group_symop_operation_xyz
'x,y,z'
'x,-y,z'
loop_
_atom_site_label
_atom_site_type_symbol
_atom_site_fract_x
_atom_site_fract_y
_atom_site_fract_z
_atom_site_occupancy
Tl1 Tl 0.000 0.000 0.000 1
Te1 Te 0.988 0.500 0.959 1
Br1 Br 0.412 0.500 0.778 1
Br2 Br 0.655 0.000 0.335 1
# Crystal system   monoclinic
# E above lowest polymorph   0.0000 eV per atom
# Energy relative to the elements, uncorrected   -310 meV per atom



Spin magnetization: 0.5223, 0.0000, 0.0000 (μB/atom)
Calculated volume: 110.02, 183.40, 158.07 (Å³/cell)